Entry 1:
This record from Alexandria via LeMat-Bulk describes crystalline MgNpTlGa at its relaxed geometry. The functional is PBE-GGA.

Values from the calculation:
Energy of formation from the pure elements (meV/atom): 99
Space-group type: F-43m (216)

a = 5.102 Å, b = 5.102 Å, c = 5.102 Å
α = 60.00°, β = 60.00°, γ = 60.00°
Fractional coordinates of all 4 atoms:
Mg: 0.000 0.000 0.000
Np: 0.500 0.500 0.500
Tl: 0.750 0.750 0.750
Ga: 0.250 0.250 0.250

***

Entry 2:
This record from Alexandria via LeMat-Bulk describes crystalline MgNpZnGa at its relaxed geometry. The functional is PBE-GGA.

Values from the calculation:
Energy of formation from the pure elements (meV/atom): -21
Space-group type: F-43m (216)

a = 4.859 Å, b = 4.859 Å, c = 4.859 Å
α = 60.00°, β = 60.00°, γ = 60.00°
Fractional coordinates of all 4 atoms:
Mg: 0.000 0.000 0.000
Np: 0.500 0.500 0.500
Zn: 0.250 0.250 0.250
Ga: 0.750 0.750 0.750

***

Entry 3:
This record from Alexandria via LeMat-Bulk describes crystalline MgGaO2 at its relaxed geometry. The functional is PBE-GGA.

Values from the calculation:
Energy relative to the elements, uncorrected (kJ/mol of atoms): -175.26
Space-group type: R3m (160)

a = 5.575 Å, b = 5.575 Å, c = 5.575 Å
α = 35.73°, β = 35.73°, γ = 35.73°
Fractional coordinates of all 4 atoms:
Mg: 0.000 0.000 0.000
Ga: 0.500 0.500 0.500
O: 0.132 0.132 0.132
O: 0.626 0.626 0.626

***

Entry 4:
This record from Alexandria via LeMat-Bulk describes crystalline MgGa2O at its relaxed geometry. The functional is PBE-GGA.

Values from the calculation:
Energy relative to the elements, uncorrected (kJ/mol of atoms): 7.61
Space-group type: Fm-3m (225)

a = 4.590 Å, b = 4.590 Å, c = 4.590 Å
α = 60.00°, β = 60.00°, γ = 60.00°
Fractional coordinates of all 4 atoms:
Mg: 0.000 0.000 0.000
Ga: 0.250 0.250 0.250
Ga: 0.750 0.750 0.750
O: 0.500 0.500 0.500

***

Entry 5:
This record from Alexandria via LeMat-Bulk describes crystalline MgGaO2 at its relaxed geometry. The functional is PBE-GGA.

Values from the calculation:
Energy relative to the elements, uncorrected (kJ/mol of atoms): -171.67
Space-group type: I-42d (122)

a = 5.722 Å, b = 5.722 Å, c = 5.722 Å
α = 131.94°, β = 131.94°, γ = 70.32°
Fractional coordinates of all 8 atoms:
Mg: 0.000 0.000 0.000
Mg: 0.750 0.250 0.500
Ga: 0.250 0.750 0.500
Ga: 0.500 0.500 0.000
O: 0.120 0.625 0.995
O: 0.375 0.370 0.495
O: 0.630 0.125 0.005
O: 0.875 0.880 0.505

***

Entry 6:
This record from Alexandria via LeMat-Bulk describes crystalline MgGaO2 at its relaxed geometry. The functional is PBE-GGA.

Values from the calculation:
Energy relative to the elements, uncorrected (kJ/mol of atoms): -106.70
Space-group type: Fm-3m (225)

a = 3.921 Å, b = 3.921 Å, c = 3.921 Å
α = 60.00°, β = 60.00°, γ = 60.00°
Fractional coordinates of all 4 atoms:
Mg: 0.000 0.000 0.000
Ga: 0.500 0.500 0.500
O: 0.250 0.250 0.250
O: 0.750 0.750 0.750